Record 1
# YMgCdHg, optimized geometry, DFT PBE
# Fermi-level density of states in states/eV per atom: 0.55
# Energy in eV per atom: -2.706
# Calculated formation energy in eV per atom: -0.3872
data_YMgCdHg
_chemical_formula_sum 'Y4 Mg4 Cd4 Hg4'
_space_group_name_H-M_alt 'F -4 3 m'
_space_group_IT_number 216
_space_group_name_Hall 'F -4 2 3'
_cell_length_a 7.1944
_cell_length_b 7.1944
_cell_length_c 7.1944
_cell_angle_alpha 90.00
_cell_angle_beta 90.00
_cell_angle_gamma 90.00
loop_
_atom_site_label
_atom_site_type_symbol
_atom_site_fract_x
_atom_site_fract_y
_atom_site_fract_z
_atom_site_occupancy
Y1 Y 0.0000 0.0000 0.0000 1
Mg1 Mg 0.0000 0.0000 0.5000 1
Cd1 Cd 0.2500 0.2500 0.2500 1
Hg1 Hg 0.2500 0.2500 0.7500 1

Record 2
# Nd2Y4HoTm2, optimized geometry, DFT PBE
# Fermi-level density of states in states/eV per atom: 1.66
# Energy in eV per atom: -5.352
# Calculated formation energy in eV per atom: 0.0832
data_Nd2Y4HoTm2
_chemical_formula_sum 'Nd2 Y4 Ho1 Tm2'
_space_group_name_H-M_alt 'P -1'
_space_group_IT_number 2
_cell_length_a 5.9803
_cell_length_b 6.6215
_cell_length_c 8.6743
_cell_angle_alpha 80.51
_cell_angle_beta 70.39
_cell_angle_gamma 64.89
loop_
_space_group_symop_operation_xyz
'x,y,z'
'-x,-y,-z'
loop_
_atom_site_label
_atom_site_type_symbol
_atom_site_fract_x
_atom_site_fract_y
_atom_site_fract_z
_atom_site_occupancy
Nd1 Nd 0.2320 0.3175 0.3450 1
Y1 Y 0.1111 0.1305 0.7616 1
Y2 Y 0.2449 0.5744 0.8837 1
Ho1 Ho 0.5000 0.0000 0.0000 1
Tm1 Tm 0.3215 0.7674 0.4472 1